The following is a GGA-PBE calculation of a relaxed structure of MnAlH3, from Alexandria.

Crystal system: cubic
Total DFT energy (no corrections) (eV/atom): -4.46
Excess energy over the best structure of this formula in the dataset (eV/atom): 0.099

abc: 3.2500 3.2500 3.2500
angles: 90.00 90.00 90.00
Element x y z (fractional)
H (0.0000, 0.0000, 0.5000)
H (0.0000, 0.5000, 0.0000)
H (0.5000, 0.0000, 0.0000)
Mn (0.0000, 0.0000, 0.0000)
Al (0.5000, 0.5000, 0.5000)

---

The following is a GGA-PBE calculation of a relaxed structure of MnAlMo2H, from Alexandria.

Crystal system: tetragonal
Total DFT energy (no corrections) (eV/atom): -7.59

abc: 3.8576 3.8576 4.1668
angles: 90.00 90.00 90.00
Element x y z (fractional)
H (0.0000, 0.0000, 0.0000)
Mo (0.5000, 0.0000, 0.0000)
Mo (0.0000, 0.5000, 0.0000)
Al (0.5000, 0.5000, 0.5000)
Mn (0.0000, 0.0000, 0.5000)

---

The following is a GGA-PBE calculation of a relaxed structure of MnNbAl2H, from Alexandria.

Crystal system: tetragonal
Total DFT energy (no corrections) (eV/atom): -6.13

abc: 4.1113 4.1113 3.7532
angles: 90.00 90.00 90.00
Element x y z (fractional)
H (0.0000, 0.0000, 0.0000)
Al (0.0000, 0.5000, 0.0000)
Al (0.5000, 0.0000, 0.0000)
Nb (0.5000, 0.5000, 0.5000)
Mn (0.0000, 0.0000, 0.5000)

---

The following is a GGA-PBE calculation of a relaxed structure of MnAlNi2H, from Alexandria.

Crystal system: tetragonal
Total DFT energy (no corrections) (eV/atom): -5.84

abc: 3.6586 3.6586 3.7267
angles: 90.00 90.00 90.00
Element x y z (fractional)
Ni (0.0000, 0.5000, 0.0000)
Ni (0.5000, 0.0000, 0.0000)
H (0.0000, 0.0000, 0.0000)
Mn (0.0000, 0.0000, 0.5000)
Al (0.5000, 0.5000, 0.5000)

---

The following is a GGA-PBE calculation of a relaxed structure of NpMn2AlH8, from Alexandria.

Crystal system: trigonal
Total DFT energy (no corrections) (eV/atom): -5.07

abc: 4.1597 4.1597 6.0208
angles: 90.00 90.00 120.00
Element x y z (fractional)
Np (0.0000, 0.0000, 0.0000)
Mn (0.3333, 0.6667, 0.6600)
Mn (0.6667, 0.3333, 0.3400)
H (0.3333, 0.6667, 0.9297)
H (0.2989, 0.3649, 0.2996)
H (0.9340, 0.2989, 0.7004)
H (0.3649, 0.0660, 0.7004)
H (0.0660, 0.7011, 0.2996)
H (0.7011, 0.6351, 0.7004)
H (0.6667, 0.3333, 0.0703)
H (0.6351, 0.9340, 0.2996)
Al (0.0000, 0.0000, 0.5000)

---

The following is a GGA-PBE calculation of a relaxed structure of NpMnAlH6, from Alexandria.

Crystal system: hexagonal
Total DFT energy (no corrections) (eV/atom): -5.24

abc: 4.3300 4.3300 4.3524
angles: 90.00 90.00 60.00
Element x y z (fractional)
H (0.0275, 0.4862, 0.2245)
H (0.4862, 0.4862, 0.7755)
H (0.4862, 0.4862, 0.2245)
H (0.4862, 0.0275, 0.7755)
H (0.4862, 0.0276, 0.2245)
H (0.0275, 0.4862, 0.7755)
Mn (0.3333, 0.3333, 0.4999)
Np (0.0000, 0.0000, 0.0000)
Al (0.6666, 0.6667, 0.5000)

---

The following is a GGA-PBE calculation of a relaxed structure of NpMnAl2H8, from Alexandria.

Crystal system: triclinic
Total DFT energy (no corrections) (eV/atom): -4.75

abc: 4.1266 4.2621 6.4308
angles: 57.07 90.01 89.99
Element x y z (fractional)
H (0.2326, 0.8091, 0.8944)
H (0.9987, 0.3527, 0.7020)
H (0.0013, 0.6473, 0.2980)
H (0.2324, 0.1918, 0.1051)
H (0.7676, 0.8082, 0.8949)
H (0.5000, 0.7728, 0.4906)
H (0.5000, 0.2272, 0.5094)
H (0.7674, 0.1909, 0.1056)
Mn (0.0000, 0.0000, 0.0000)
Al (0.5001, 0.7105, 0.2269)
Al (0.4999, 0.2895, 0.7731)
Np (0.0000, 0.0000, 0.5000)

---

| no. | spin magnetization (μB/f.u.) |
| --- | --- |
| 1 | 0.97 |
| 2 | 2.63 |
| 3 | 3.14 |
| 4 | 3.30 |
| 5 | 2.60 |
| 6 | 3.72 |
| 7 | 4.67 |